InReHg2 (PBEsol, relaxed); DFT formation energy = 0.619 eV per atom; symmetry = Cmmm (65)
1.0
2.879 0.000 0.000
-1.439 2.541 0.000
0.000 0.000 10.984
Hg In Re
2 1 1
Direct
0.000 0.000 0.774
0.000 0.000 0.226
0.500 0.000 0.500
0.500 0.000 0.000

=====

BaBePt (PBEsol, relaxed); DFT formation energy = 0.905 eV per atom; energy above the lowest structure with this stoichiometry = 1337 meV per atom; symmetry = F-43m (216)
1.0
4.999 0.000 0.000
2.500 4.330 0.000
2.500 1.443 4.082
Be Ba Pt
1 1 1
Direct
0.000 0.000 0.000
0.250 0.250 0.250
0.500 0.500 0.500

=====

AlHg2Pt (PBEsol, relaxed); DFT formation energy = -0.015 eV per atom; symmetry = P4/mmm (123)
1.0
4.043 0.000 0.000
0.000 4.043 0.000
0.000 0.000 4.308
Hg Pt Al
2 1 1
Direct
0.000 0.500 0.000
0.500 0.000 0.000
0.500 0.500 0.500
0.000 0.000 0.500

=====

YTeSe2 (PBEsol, relaxed); raw formation energy = -794.0 meV/atom; symmetry = Immm (71)
1.0
-0.899 0.788 4.106
0.126 -4.805 0.949
5.425 2.347 -1.489
Se Te Y
2 1 1
Direct
0.677 0.677 0.355
0.323 0.323 0.645
0.500 0.000 0.000
0.000 0.500 0.000

=====

KTc2Cl (PBEsol, relaxed); raw formation energy = 2053.6 meV/atom; energy above the lowest structure with this stoichiometry = 1186 meV per atom; symmetry = Fm-3m (225)
1.0
4.482 0.000 0.000
2.241 3.881 0.000
2.241 1.294 3.659
K Tc Cl
1 2 1
Direct
0.500 0.500 0.500
0.250 0.250 0.250
0.750 0.750 0.750
0.000 0.000 0.000

=====

MgTa2W (PBEsol, relaxed); DFT formation energy = 0.340 eV per atom; symmetry = P4/mmm (123)
1.0
-0.467 0.199 -2.680
2.325 -1.335 -0.504
-4.697 -8.260 0.206
Mg Ta W
1 2 1
Direct
0.500 0.500 0.500
0.000 0.000 0.759
0.000 0.000 0.241
0.500 0.500 0.000

=====

TlCuCl (PBEsol, relaxed); raw formation energy = 73.2 meV/atom; energy above the lowest structure with this stoichiometry = 0 meV per atom; symmetry = F-43m (216)
1.0
4.572 0.000 0.000
2.286 3.959 0.000
2.286 1.320 3.733
Tl Cu Cl
1 1 1
Direct
0.000 0.000 0.000
0.250 0.250 0.250
0.500 0.500 0.500

=====

BaLa3Rh (PBEsol, relaxed); DFT formation energy = 1.293 eV per atom; symmetry = Pm-3m (221)
1.0
-4.380 -3.498 -0.871
2.520 -1.991 -4.676
2.578 -3.997 3.091
Rh Ba La
1 1 3
Direct
0.500 0.500 0.500
0.000 0.000 0.000
0.000 0.500 0.000
0.000 0.000 0.500
0.500 0.000 0.000

=====

no.,total magnetic moment (μB/cell),electronic total energy (eV per atom)
1,0.0,-3.743
2,0.0,-3.466
3,0.0,-3.062
4,0.0,-5.306
5,0.0,-4.365
6,0.0,-9.817
7,0.0,-2.918
8,0.0,-3.972